Below is a relaxed TbDy2TmPt4 crystal, with properties calculated at the PBE level.

Calculated values
* energy relative to the elements: -117.9 kJ/mol of atoms

Lattice parameters (Å, degrees): 4.8974 4.8974 6.9292 90.00 90.00 90.00
Fractional positions:
Dy 0.0000 0.0000 0.0000
Dy 0.5000 0.5000 0.5000
Pt 0.5000 0.0000 0.2486
Pt 0.0000 0.5000 0.2486
Pt 0.5000 0.0000 0.7514
Pt 0.0000 0.5000 0.7514
Tb 0.0000 0.0000 0.5000
Tm 0.5000 0.5000 0.0000

---

Below is a relaxed TbDy2YPt4 crystal, with properties calculated at the PBE level.

Calculated values
* energy relative to the elements: -116.2 kJ/mol of atoms

Lattice parameters (Å, degrees): 4.9213 4.9213 6.9605 90.00 90.00 90.00
Fractional positions:
Dy 0.5000 0.5000 0.0000
Dy 0.0000 0.0000 0.5000
Pt 0.5000 0.0000 0.2498
Pt 0.0000 0.5000 0.2498
Pt 0.5000 0.0000 0.7502
Pt 0.0000 0.5000 0.7502
Tb 0.0000 0.0000 0.0000
Y 0.5000 0.5000 0.5000

---

Below is a relaxed DyTcPt crystal, with properties calculated at the PBE level.

Calculated values
* energy relative to the elements: 3.4 kJ/mol of atoms

Lattice parameters (Å, degrees): 4.5544 4.5544 4.5544 60.00 60.00 60.00
Fractional positions:
Dy 0.2500 0.2500 0.2500
Pt 0.0000 0.0000 0.0000
Tc 0.7500 0.7500 0.7500

---

Below is a relaxed Dy3Y3Te2Pt crystal, with properties calculated at the PBE level.

Calculated values
* distance to the lowest polymorph of the same formula: 0.015 eV/atom

Lattice parameters (Å, degrees): 8.4364 8.4364 3.9530 90.00 90.00 120.00
Fractional positions:
Dy 0.4014 0.0000 0.0000
Dy 0.0000 0.4014 0.0000
Dy 0.5986 0.5986 0.0000
Pt 0.0000 0.0000 0.0000
Te 0.6667 0.3333 0.5000
Te 0.3333 0.6667 0.5000
Y 0.7536 0.0000 0.5000
Y 0.2464 0.2464 0.5000
Y 0.0000 0.7536 0.5000

---

Below is a relaxed Dy3Y3Te2Pt crystal, with properties calculated at the PBE level.

Calculated values
* distance to the lowest polymorph of the same formula: 0.000 eV/atom

Lattice parameters (Å, degrees): 8.4335 8.4335 3.9516 90.00 90.00 120.00
Fractional positions:
Dy 0.7542 0.0000 0.5000
Dy 0.2458 0.2458 0.5000
Dy 0.0000 0.7542 0.5000
Pt 0.0000 0.0000 0.0000
Te 0.6667 0.3333 0.5000
Te 0.3333 0.6667 0.5000
Y 0.4014 0.0000 0.0000
Y 0.0000 0.4014 0.0000
Y 0.5986 0.5986 0.0000

---

Below is a relaxed DyTlPt crystal, with properties calculated at the PBE level.

Calculated values
* raw total energy: -4.528 eV per atom

Lattice parameters (Å, degrees): 4.7510 4.7510 4.7510 60.00 60.00 60.00
Fractional positions:
Dy 0.2500 0.2500 0.2500
Pt 0.7500 0.7500 0.7500
Tl 0.0000 0.0000 0.0000

---

Below is a relaxed DyTlPt crystal, with properties calculated at the PBE level.

Calculated values
* raw total energy: -4.572 eV per atom

Lattice parameters (Å, degrees): 4.8141 4.8141 4.8141 60.00 60.00 60.00
Fractional positions:
Dy 0.0000 0.0000 0.0000
Pt 0.2500 0.2500 0.2500
Tl 0.7500 0.7500 0.7500

---

Below is a relaxed DyTmTl2Pt4 crystal, with properties calculated at the PBE level.

Calculated values
* raw total energy: -5.501 eV per atom

Lattice parameters (Å, degrees): 4.6252 4.6252 8.9448 90.00 90.00 120.00
Fractional positions:
Dy 0.0000 0.0000 0.0000
Pt 0.3333 0.6667 0.1559
Pt 0.0000 0.0000 0.3462
Pt 0.0000 0.0000 0.6538
Pt 0.3333 0.6667 0.8441
Tl 0.6667 0.3333 0.2509
Tl 0.6667 0.3333 0.7491
Tm 0.3333 0.6667 0.5000

---

Below is a relaxed DyTmPt crystal, with properties calculated at the PBE level.

Calculated values
* distance to the lowest polymorph of the same formula: 0.000 eV/atom
* energy relative to the elements: -11.4 kJ/mol of atoms

Lattice parameters (Å, degrees): 4.7198 4.7198 4.7198 60.00 60.00 60.00
Fractional positions:
Dy 0.2500 0.2500 0.2500
Pt 0.7500 0.7500 0.7500
Tm 0.0000 0.0000 0.0000

---

Below is a relaxed Dy2YTmPt4 crystal, with properties calculated at the PBE level.

Calculated values
* energy relative to the elements: -118.2 kJ/mol of atoms

Lattice parameters (Å, degrees): 4.9088 4.9088 6.9531 90.00 90.00 90.00
Fractional positions:
Dy 0.5000 0.5000 0.0000
Dy 0.0000 0.0000 0.5000
Pt 0.5000 0.0000 0.2467
Pt 0.0000 0.5000 0.2467
Pt 0.5000 0.0000 0.7533
Pt 0.0000 0.5000 0.7533
Tm 0.0000 0.0000 0.0000
Y 0.5000 0.5000 0.5000

---

Below is a relaxed DyPtW crystal, with properties calculated at the PBE level.

Calculated values
* energy relative to the elements: 26.9 kJ/mol of atoms

Lattice parameters (Å, degrees): 4.5570 4.5570 4.5570 60.00 60.00 60.00
Fractional positions:
Dy 0.2500 0.2500 0.2500
Pt 0.0000 0.0000 0.0000
W 0.7500 0.7500 0.7500

---

Below is a relaxed DyY3Pt4 crystal, with properties calculated at the PBE level.

Calculated values
* energy relative to the elements: -122.3 kJ/mol of atoms

Lattice parameters (Å, degrees): 5.5781 4.5083 7.0554 90.00 90.12 90.00
Fractional positions:
Dy 0.8599 0.0000 0.6819
Pt 0.1528 0.0000 0.0430
Pt 0.6545 0.5000 0.4573
Pt 0.3460 0.0000 0.5449
Pt 0.8467 0.5000 0.9545
Y 0.6402 0.0000 0.1821
Y 0.1401 0.5000 0.3182
Y 0.3597 0.5000 0.8181

---

Below is a relaxed DyZnPt crystal, with properties calculated at the PBE level.

Calculated values
* energy relative to the elements: -78.0 kJ/mol of atoms

Lattice parameters (Å, degrees): 4.5760 4.5760 4.5760 60.00 60.00 60.00
Fractional positions:
Dy 0.2500 0.2500 0.2500
Pt 0.0000 0.0000 0.0000
Zn 0.7500 0.7500 0.7500

---

Below is a relaxed Dy2Zn3Pt4 crystal, with properties calculated at the PBE level.

Calculated values
* energy relative to the elements: -87.3 kJ/mol of atoms

Lattice parameters (Å, degrees): 8.0955 8.0955 7.5789 90.00 90.00 139.61
Fractional positions:
Dy 0.8893 0.1107 0.0866
Dy 0.3893 0.6107 0.4134
Dy 0.6107 0.3893 0.5866
Dy 0.1107 0.8893 0.9134
Pt 0.3232 0.6768 0.0273
Pt 0.3081 0.1919 0.2500
Pt 0.8081 0.6919 0.2500
Pt 0.8232 0.1768 0.4727
Pt 0.1768 0.8232 0.5273
Pt 0.1919 0.3081 0.7500
Pt 0.6919 0.8081 0.7500
Pt 0.6768 0.3232 0.9727
Zn 0.5000 0.5000 0.0000
Zn 0.4786 0.0214 0.2500
Zn 0.9786 0.5214 0.2500
Zn 0.0000 0.0000 0.5000
Zn 0.0214 0.4786 0.7500
Zn 0.5214 0.9786 0.7500

---

Below is a relaxed DyZrZn2Pt4 crystal, with properties calculated at the PBE level.

Calculated values
* energy relative to the elements: -81.5 kJ/mol of atoms

Lattice parameters (Å, degrees): 4.6358 4.6358 6.5501 90.00 90.00 90.00
Fractional positions:
Dy 0.0000 0.0000 0.0000
Pt 0.5000 0.0000 0.2644
Pt 0.0000 0.5000 0.2644
Pt 0.5000 0.0000 0.7356
Pt 0.0000 0.5000 0.7356
Zn 0.5000 0.5000 0.0000
Zn 0.0000 0.0000 0.5000
Zr 0.5000 0.5000 0.5000

---

Below is a relaxed DyZrPt crystal, with properties calculated at the PBE level.

Calculated values
* distance to the lowest polymorph of the same formula: 0.000 eV/atom
* energy relative to the elements: -6.1 kJ/mol of atoms

Lattice parameters (Å, degrees): 4.6271 4.6271 4.6271 60.00 60.00 60.00
Fractional positions:
Dy 0.2500 0.2500 0.2500
Pt 0.7500 0.7500 0.7500
Zr 0.0000 0.0000 0.0000

---

Below is a relaxed RbDyPu crystal, with properties calculated at the PBE level.

Calculated values
* raw total energy: -5.286 eV per atom

Lattice parameters (Å, degrees): 6.0392 6.0392 6.0392 60.00 60.00 60.00
Fractional positions:
Dy 0.0000 0.0000 0.0000
Pu 0.2500 0.2500 0.2500
Rb 0.7500 0.7500 0.7500

---

Below is a relaxed Dy2PuSe3 crystal, with properties calculated at the PBE level.

Calculated values
* raw total energy: -7.369 eV per atom

Lattice parameters (Å, degrees): 7.0963 7.0963 7.0963 146.59 131.90 59.83
Fractional positions:
Dy 0.1667 0.1667 0.0000
Dy 0.8333 0.8333 0.0000
Pu 0.5000 0.5000 0.0000
Se 0.6690 0.1690 0.5000
Se 0.0000 0.5000 0.5000
Se 0.3310 0.8310 0.5000

---

Below is a relaxed Dy3PuSe4 crystal, with properties calculated at the PBE level.

Calculated values
* raw total energy: -6.977 eV per atom

Lattice parameters (Å, degrees): 7.0894 7.0894 4.0708 90.00 90.00 109.17
Fractional positions:
Dy 0.5000 0.5000 0.0000
Dy 0.5000 0.0000 0.5000
Dy 0.0000 0.5000 0.5000
Pu 0.0000 0.0000 0.0000
Se 0.7482 0.2518 0.0000
Se 0.2518 0.7482 0.0000
Se 0.2535 0.2535 0.5000
Se 0.7465 0.7465 0.5000

---

Below is a relaxed TbDyPu crystal, with properties calculated at the PBE level.

Calculated values
* energy relative to the elements: 81.1 kJ/mol of atoms

Lattice parameters (Å, degrees): 5.2564 5.2564 5.2564 60.00 60.00 60.00
Fractional positions:
Dy 0.0000 0.0000 0.0000
Pu 0.2500 0.2500 0.2500
Tb 0.7500 0.7500 0.7500